PmAgPt2, optimized geometry, DFT PBE; DFT total energy = -22.2 eV per formula unit; V = 79 Å³/f.u.; polymorph energy (0 for the lowest one) = 0.077 eV per atom; spin magnetization = 0.000 μB per formula unit
1.0
3.638 0.000 0.000
0.000 3.638 0.000
0.000 0.000 5.961
Ag Pt Pm
1 2 1
Cartesian
1.819 1.819 2.980
0.000 0.000 4.400
0.000 0.000 1.561
1.819 1.819 0.000

---

CoRe2Mo, optimized geometry, DFT PBE; DFT total energy = -41.8 eV per formula unit; V = 58 Å³/f.u.; polymorph energy (0 for the lowest one) = 0.206 eV per atom; spin magnetization = 2.242 μB per formula unit
1.0
0.000 3.065 3.065
3.065 0.000 3.065
3.065 3.065 0.000
Re Mo Co
2 1 1
Cartesian
1.533 1.533 1.533
4.598 4.598 4.598
3.065 3.065 3.065
0.000 0.000 0.000